A plane-wave DFT calculation with PBE was carried out for a relaxed structure of BaTa2Cl.

Cell lengths 4.9713, 4.9713, 4.9713 Å; angles 60.00, 60.00, 60.00 degrees
Positions (direct):
Cl  0.0000  0.0000  0.0000
Ba  0.5000  0.5000  0.5000
Ta  0.2500  0.2500  0.2500
Ta  0.7500  0.7500  0.7500

## Properties
Energy = -20.88 eV per cell
Formation energy without anion corrections = 1.65 eV/atom

A plane-wave DFT calculation with PBE was carried out for a relaxed structure of BaTa2Cl.

Cell lengths 3.1553, 3.1553, 10.6710 Å; angles 90.00, 90.00, 122.12 degrees
Positions (direct):
Cl  0.5000  0.5000  0.7500
Ba  0.5000  0.5000  0.2500
Ta  0.0000  0.0000  0.9576
Ta  0.0000  0.0000  0.5424

## Properties
Energy = -23.91 eV per cell
Formation energy without anion corrections = 0.89 eV/atom

A plane-wave DFT calculation with PBE was carried out for a relaxed structure of Ba2TaCl.

Cell lengths 7.1742, 7.1742, 7.1742 Å; angles 152.33, 134.55, 54.04 degrees
Positions (direct):
Cl  0.5213  0.5213  0.0000
Ba  0.9868  0.9868  0.0000
Ba  0.2858  0.7858  0.5000
Ta  0.7061  0.2061  0.5000

## Properties
Energy = -16.67 eV per cell
Formation energy without anion corrections = 0.22 eV/atom

A plane-wave DFT calculation with PBE was carried out for a relaxed structure of Ba2TaCl.

Cell lengths 6.1506, 6.1506, 6.1506 Å; angles 130.36, 112.33, 88.42 degrees
Positions (direct):
Cl  0.2500  0.7500  0.5000
Ba  0.0238  0.0238  0.0000
Ba  0.4762  0.4762  0.0000
Ta  0.7500  0.2500  0.5000

## Properties
Energy = -16.11 eV per cell
Formation energy without anion corrections = 0.36 eV/atom

A plane-wave DFT calculation with PBE was carried out for a relaxed structure of BaTaCl2.

Cell lengths 6.8911, 6.8911, 6.8911 Å; angles 151.46, 136.91, 52.50 degrees
Positions (direct):
Cl  0.0177  0.0177  0.0000
Cl  0.6997  0.1997  0.5000
Ba  0.2643  0.7643  0.5000
Ta  0.5183  0.5183  0.0000

## Properties
Energy = -18.22 eV per cell
Formation energy without anion corrections = -0.19 eV/atom

A plane-wave DFT calculation with PBE was carried out for a relaxed structure of BaTaCl2.

Cell lengths 4.7351, 4.7351, 6.9160 Å; angles 80.05, 80.05, 41.81 degrees
Positions (direct):
Cl  0.0034  0.0034  0.9445
Cl  0.7731  0.7731  0.6385
Ba  0.2359  0.2359  0.2645
Ta  0.4876  0.4876  0.6525

## Properties
Energy = -19.07 eV per cell
Formation energy without anion corrections = -0.40 eV/atom

A plane-wave DFT calculation with PBE was carried out for a relaxed structure of BaTaCl.

Cell lengths 5.1562, 5.1562, 3.8847 Å; angles 90.00, 90.00, 120.00 degrees
Positions (direct):
Cl  0.6667  0.3333  0.5005
Ba  0.0000  0.0000  0.9999
Ta  0.3333  0.6667  0.4996

## Properties
Energy = -13.71 eV per cell
Formation energy without anion corrections = 0.64 eV/atom

A plane-wave DFT calculation with PBE was carried out for a relaxed structure of BaTaCl2.

Cell lengths 4.3447, 3.4474, 6.3345 Å; angles 89.99, 90.00, 90.00 degrees
Positions (direct):
Cl  0.0000  0.2492  0.0237
Cl  0.0000  0.2508  0.4763
Ba  0.5000  0.7500  0.7500
Ta  0.5000  0.2500  0.2500

## Properties
Energy = -19.43 eV per cell
Formation energy without anion corrections = -0.49 eV/atom

A plane-wave DFT calculation with PBE was carried out for a relaxed structure of BaTaCl2.

Cell lengths 9.8632, 9.8632, 9.8632 Å; angles 20.16, 20.16, 20.16 degrees
Positions (direct):
Cl  0.9163  0.9163  0.9163
Cl  0.0837  0.0837  0.0837
Ba  0.5000  0.5000  0.5000
Ta  0.0000  0.0000  0.0000

## Properties
Energy = -19.20 eV per cell
Formation energy without anion corrections = -0.43 eV/atom

A plane-wave DFT calculation with PBE was carried out for a relaxed structure of BaTa2Cl.

Cell lengths 10.8664, 10.8664, 10.8664 Å; angles 16.38, 16.38, 16.38 degrees
Positions (direct):
Cl  0.7500  0.7500  0.7500
Ba  0.2500  0.2500  0.2500
Ta  0.0168  0.0168  0.0168
Ta  0.4832  0.4832  0.4832

## Properties
Energy = -24.11 eV per cell
Formation energy without anion corrections = 0.84 eV/atom

A plane-wave DFT calculation with PBE was carried out for a relaxed structure of Ba2TaCl.

Cell lengths 3.6383, 3.6383, 11.8437 Å; angles 90.00, 90.00, 89.99 degrees
Positions (direct):
Cl  0.0000  0.0000  0.4465
Ba  0.0000  0.0000  0.9682
Ba  0.5000  0.5000  0.3106
Ta  0.5000  0.5000  0.7747

## Properties
Energy = -16.07 eV per cell
Formation energy without anion corrections = 0.37 eV/atom

A plane-wave DFT calculation with PBE was carried out for a relaxed structure of Ba2TaCl.

Cell lengths 5.7882, 5.7882, 5.7882 Å; angles 60.00, 60.00, 60.00 degrees
Positions (direct):
Cl  0.5000  0.5000  0.5000
Ba  0.0000  0.0000  0.0000
Ba  0.2500  0.2500  0.2500
Ta  0.7500  0.7500  0.7500

## Properties
Energy = -14.79 eV per cell
Formation energy without anion corrections = 0.69 eV/atom

A plane-wave DFT calculation with PBE was carried out for a relaxed structure of BaTaCl2.

Cell lengths 3.5995, 3.5995, 9.4524 Å; angles 90.00, 90.00, 126.76 degrees
Positions (direct):
Cl  0.0000  0.0000  0.0384
Cl  0.0000  0.0000  0.4616
Ba  0.5000  0.5000  0.7500
Ta  0.5000  0.5000  0.2500

## Properties
Energy = -18.57 eV per cell
Formation energy without anion corrections = -0.28 eV/atom

A plane-wave DFT calculation with PBE was carried out for a relaxed structure of BaTa2Cl.

Cell lengths 3.2913, 4.6433, 7.3754 Å; angles 90.00, 90.00, 90.00 degrees
Positions (direct):
Cl  0.0000  0.5000  0.5000
Ba  0.5000  0.0000  0.5000
Ta  0.0000  0.0000  0.0000
Ta  0.5000  0.5000  0.0000

## Properties
Energy = -25.95 eV per cell
Formation energy without anion corrections = 0.38 eV/atom

A plane-wave DFT calculation with PBE was carried out for a relaxed structure of Ba2TaCl.

Cell lengths 9.2157, 6.0211, 3.4742 Å; angles 90.27, 67.47, 130.90 degrees
Positions (direct):
Cl  0.0000  0.5000  0.5000
Ba  0.0000  0.0000  0.0000
Ba  0.5000  0.0000  0.5000
Ta  0.5000  0.5000  0.0000

## Properties
Energy = -17.20 eV per cell
Formation energy without anion corrections = 0.09 eV/atom

A plane-wave DFT calculation with PBE was carried out for a relaxed structure of BaTaCl.

Cell lengths 7.2741, 7.2736, 3.2760 Å; angles 76.99, 76.98, 26.03 degrees
Positions (direct):
Cl  0.3015  0.3015  0.6985
Ba  0.0020  0.0020  0.9980
Ta  0.6965  0.6965  0.3035

## Properties
Energy = -14.82 eV per cell
Formation energy without anion corrections = 0.27 eV/atom

A plane-wave DFT calculation with PBE was carried out for a relaxed structure of BaTaCl2.

Cell lengths 3.5293, 3.5293, 11.0316 Å; angles 90.00, 90.00, 90.00 degrees
Positions (direct):
Cl  0.0000  0.0000  0.9136
Cl  0.0000  0.0000  0.5864
Ba  0.5000  0.5000  0.7500
Ta  0.5000  0.5000  0.2500

## Properties
Energy = -18.16 eV per cell
Formation energy without anion corrections = -0.17 eV/atom

A plane-wave DFT calculation with PBE was carried out for a relaxed structure of Ba2TaCl.

Cell lengths 3.6128, 3.6117, 10.3337 Å; angles 69.57, 90.00, 90.00 degrees
Positions (direct):
Cl  0.5000  0.2500  0.2500
Ba  0.0000  0.9908  0.0101
Ba  0.0000  0.5092  0.4899
Ta  0.5000  0.7500  0.7500

## Properties
Energy = -17.71 eV per cell
Formation energy without anion corrections = -0.04 eV/atom

A plane-wave DFT calculation with PBE was carried out for a relaxed structure of BaTaCl2.

Cell lengths 5.4987, 5.4987, 8.6604 Å; angles 71.49, 71.49, 90.00 degrees
Positions (direct):
Cl  0.7540  0.1250  0.2500
Cl  0.9960  0.6250  0.2500
Cl  0.3750  0.2460  0.7500
Cl  0.8750  0.0040  0.7500
Ba  0.5000  0.5000  0.0000
Ba  0.2500  0.7500  0.5000
Ta  0.0000  0.0000  0.0000
Ta  0.7500  0.2500  0.5000

## Properties
Energy = -37.12 eV per cell
Formation energy without anion corrections = -0.27 eV/atom

A plane-wave DFT calculation with PBE was carried out for a relaxed structure of BaTa2Cl.

Cell lengths 6.4632, 6.4632, 6.4632 Å; angles 151.69, 118.48, 69.06 degrees
Positions (direct):
Cl  0.2057  0.7057  0.5000
Ba  0.4688  0.4688  0.0000
Ta  0.0128  0.0128  0.0000
Ta  0.8126  0.3126  0.5000

## Properties
Energy = -25.02 eV per cell
Formation energy without anion corrections = 0.61 eV/atom